The following is a DFT calculation (GGA-PBE) of a relaxed BeGaIrPb crystal.

Calculated values
Distance to the lowest polymorph of the same formula: 0.15 eV/f.u.
Total magnetization: 0.004 μB per formula unit
Calculated total energy: -0.160 hartree per atom

Geometry as extended XYZ:
```
4
Lattice="4.3095 1.3305 0.7808 0.8234 3.7060 2.5573 1.8158 -0.4587 4.1766" Properties=species:S:1:pos:R:3 pbc="T T T"
Be 5.2116 3.4333 5.6360
Ga 0.0000 0.0000 0.0000
Pb 3.4744 2.2889 3.7573
Ir 1.7372 1.1444 1.8787
```